Density functional theory data (SCAN) for a PBEsol-optimized structure of Y2TeBr.

Results
calculated volume = 35.32 Å³/atom
total DFT energy (no corrections) = -28.927 eV/atom

Cell lengths 6.5303, 6.5303, 8.0757 Å; angles 113.85, 113.85, 90.00 degrees
Fractional positions:
Br  0.7500  0.2500  0.5000
Y  0.1250  0.1423  0.7500
Y  0.6250  0.6077  0.7500
Y  0.8577  0.3750  0.2500
Te  0.2500  0.7500  0.5000
Te  0.0000  0.0000  0.0000
Br  0.5000  0.5000  0.0000
Y  0.3923  0.8750  0.2500